Computed, not measured: Zr4TiAg after structural relaxation at the PBE-GGA level of DFT.

Calculated values
formation enthalpy at 0 K = -0.004 eV/atom

Unit cell a=3.138 b=3.138 c=12.958 alpha=90.00 beta=90.00 gamma=90.00
Sites, in units of the cell vectors:
Ti  0.000  0.000  0.000
Zr  0.000  0.000  0.337
Zr  0.500  0.500  0.839
Zr  0.500  0.500  0.161
Zr  0.000  0.000  0.663
Ag  0.500  0.500  0.500

Computed, not measured: Tb2HoTmS4 after structural relaxation at the PBE-GGA level of DFT.

Calculated values
raw total energy = -50.7 eV for the cell shown

Unit cell a=3.858 b=6.742 c=6.795 alpha=109.01 beta=90.00 gamma=90.00
Sites, in units of the cell vectors:
S  0.000  0.746  0.243
Ho  0.000  0.000  0.000
Tm  0.500  0.500  0.000
Tb  0.500  0.000  0.500
S  0.000  0.254  0.757
Tb  0.000  0.500  0.500
S  0.500  0.250  0.244
S  0.500  0.750  0.756

Computed, not measured: Li2SbS2 after structural relaxation at the PBE-GGA level of DFT.

Calculated values
raw total energy = -39.5 eV for the cell shown

Unit cell a=7.302 b=7.302 c=3.517 alpha=90.00 beta=90.00 gamma=90.00
Sites, in units of the cell vectors:
Sb  0.000  0.000  0.000
Li  0.137  0.637  0.500
Li  0.637  0.863  0.500
Li  0.363  0.137  0.500
S  0.175  0.325  0.000
S  0.325  0.825  0.000
Li  0.863  0.363  0.500
Sb  0.500  0.500  0.000
S  0.825  0.675  0.000
S  0.675  0.175  0.000

Computed, not measured: La4NdP5 after structural relaxation at the PBE-GGA level of DFT.

Calculated values
formation enthalpy at 0 K = -1.568 eV/atom

Unit cell a=6.017 b=7.370 c=7.370 alpha=80.41 beta=65.91 gamma=65.91
Sites, in units of the cell vectors:
Nd  0.001  0.000  0.000
P  0.902  0.397  0.802
La  0.601  0.601  0.200
La  0.401  0.399  0.800
P  0.100  0.603  0.198
La  0.800  0.800  0.601
P  0.299  0.802  0.603
La  0.201  0.200  0.399
P  0.501  0.000  0.000
P  0.703  0.198  0.397

Computed, not measured: Ac2ThGe3Ir4 after structural relaxation at the PBE-GGA level of DFT.

Calculated values
formation enthalpy at 0 K = -0.749 eV/atom

Unit cell a=4.386 b=4.386 c=11.277 alpha=90.00 beta=90.00 gamma=90.00
Sites, in units of the cell vectors:
Ac  0.000  0.500  0.773
Ir  0.000  0.000  0.000
Ge  0.000  0.500  0.118
Th  0.500  0.500  0.500
Ir  0.500  0.500  0.000
Ac  0.500  0.000  0.227
Ir  0.500  0.000  0.656
Ge  0.000  0.000  0.500
Ge  0.500  0.000  0.882
Ir  0.000  0.500  0.344

Computed, not measured: InAgSnBi after structural relaxation at the PBE-GGA level of DFT.

Calculated values
formation enthalpy at 0 K = 0.118 eV/atom

Unit cell a=5.305 b=5.305 c=5.305 alpha=60.00 beta=60.00 gamma=60.00
Sites, in units of the cell vectors:
Ag  0.750  0.750  0.750
Bi  0.000  0.000  0.000
In  0.500  0.500  0.500
Sn  0.250  0.250  0.250

Number 1: total moment 0.0 μB per formula unit. Number 2: total moment 0.0 μB per formula unit. Number 3: total moment 0.0 μB per formula unit. Number 4: total moment 0.0 μB per formula unit. Number 5: total moment 0.0 μB per formula unit. Number 6: total moment 0.0 μB per formula unit.